Below is crystalline TiTcPd2Se at its relaxed geometry, with properties calculated at the GGA-PBE level.

The structure in POSCAR format:
```
TiTcPd2Se
1.0
4.697 0.000 0.000
0.000 4.697 0.000
0.000 0.000 4.707
Ti Tc Pd Se
1 1 2 1
Cartesian
0.000 0.000 0.000
2.348 2.348 2.354
0.000 2.348 0.000
2.348 0.000 0.000
0.000 0.000 2.354
```

SG = P4/mmm (123)
Calculated density = 7.00 g cm⁻³
E_form (uncorrected) = 0.71 eV/atom